No. 1
{"formula": "PrPuIr2", "functional": "PBE-GGA", "state": "relaxed", "mass_density_g_cm3": 14.87, "vol_a3_per_atom": 21.5, "formation_enthalpy_0k_ev_per_atom": -0.409, "space_group": "Fm-3m (225)", "cell": [[-1.8691, 3.4661, -3.0037], [-1.4928, -1.2200, -4.5621], [-4.8284, -0.0210, -1.1029]], "species": ["Pr", "Ir", "Ir", "Pu"], "fractional_positions": [[0.5000, 0.5000, 0.5000], [0.2500, 0.2500, 0.2500], [0.7500, 0.7500, 0.7500], [0.0000, 0.0000, 0.0000]]}

***

No. 2
{"formula": "Ti2CdAg2", "functional": "PBE-GGA", "state": "relaxed", "mass_density_g_cm3": 7.23, "vol_a3_per_atom": 19.5, "formation_enthalpy_0k_ev_per_atom": 0.299, "space_group": "I4/mmm (139)", "cell": [[3.7230, 0.0000, 0.0000], [0.0000, 3.7230, 0.0000], [1.8615, 1.8615, 7.0193]], "species": ["Ti", "Ti", "Ag", "Ag", "Cd"], "fractional_positions": [[0.7500, 0.2500, 0.5000], [0.2500, 0.7500, 0.5000], [0.4017, 0.4017, 0.1967], [0.5983, 0.5983, 0.8033], [0.0000, 0.0000, 0.0000]]}

***

No. 3
{"formula": "K2LiBP2O8", "functional": "PBE-GGA", "state": "relaxed", "mass_density_g_cm3": 2.52, "vol_a3_per_atom": 13.4, "e_form_raw_kj_per_mol_fu": -3167.2, "space_group": "P2_1/c (14)", "cell": [[-4.2244, -7.3050, -1.0104], [7.6830, -4.4909, 0.3457], [-0.4578, -0.0154, 9.9753]], "species": ["K", "K", "K", "K", "K", "K", "K", "K", "Li", "Li", "Li", "Li", "B", "B", "B", "B", "P", "P", "P", "P", "P", "P", "P", "P", "O", "O", "O", "O", "O", "O", "O", "O", "O", "O", "O", "O", "O", "O", "O", "O", "O", "O", "O", "O", "O", "O", "O", "O", "O", "O", "O", "O", "O", "O", "O", "O"], "fractional_positions": [[0.4555, 0.7245, 0.1814], [0.9555, 0.7755, 0.6814], [0.5445, 0.2755, 0.8186], [0.0445, 0.2245, 0.3186], [0.4744, 0.2257, 0.4123], [0.9744, 0.2743, 0.9123], [0.5256, 0.7743, 0.5877], [0.0256, 0.7257, 0.0877], [0.3112, 0.4161, 0.1187], [0.8112, 0.0839, 0.6187], [0.6888, 0.5839, 0.8813], [0.1888, 0.9161, 0.3813], [0.1584, 0.4140, 0.6265], [0.6584, 0.0860, 0.1265], [0.8416, 0.5860, 0.3735], [0.3416, 0.9140, 0.8735], [0.3174, 0.0757, 0.1079], [0.8174, 0.4243, 0.6079], [0.6826, 0.9243, 0.8921], [0.1826, 0.5757, 0.3921], [0.3005, 0.6060, 0.8304], [0.8005, 0.8940, 0.3304], [0.6995, 0.3940, 0.1696], [0.1995, 0.1060, 0.6696], [0.2608, 0.7811, 0.8093], [0.7608, 0.7189, 0.3093], [0.7392, 0.2189, 0.1907], [0.2392, 0.2811, 0.6907], [0.2651, 0.5592, 0.9710], [0.7651, 0.9408, 0.4710], [0.7349, 0.4408, 0.0290], [0.2349, 0.0592, 0.5290], [0.1682, 0.5398, 0.7227], [0.6682, 0.9602, 0.2227], [0.8318, 0.4602, 0.2773], [0.3318, 0.0398, 0.7773], [0.4657, 0.5706, 0.7934], [0.9657, 0.9294, 0.2934], [0.5343, 0.4294, 0.2066], [0.0343, 0.0706, 0.7066], [0.2645, 0.9505, 0.9980], [0.7645, 0.5495, 0.4980], [0.7355, 0.0495, 0.0020], [0.2355, 0.4505, 0.5020], [0.3112, 0.0045, 0.2454], [0.8112, 0.4955, 0.7454], [0.6888, 0.9955, 0.7546], [0.1888, 0.5045, 0.2546], [0.2165, 0.2161, 0.0852], [0.7165, 0.2839, 0.5852], [0.7835, 0.7839, 0.9148], [0.2835, 0.7161, 0.4148], [0.4917, 0.1243, 0.0840], [0.9917, 0.3757, 0.5840], [0.5083, 0.8757, 0.9160], [0.0083, 0.6243, 0.4160]]}

***

No. 4
{"formula": "Ac6Te3RuPt2", "functional": "PBE-GGA", "state": "relaxed", "mass_density_g_cm3": 9.02, "vol_a3_per_atom": 34.3, "e_form_raw_kj_per_mol_fu": -1344.3, "space_group": "C2/m (12)", "cell": [[-7.6061, 0.8614, -0.9423], [2.8031, -2.3083, 6.8042], [2.1706, 8.0942, 0.3951]], "species": ["Ac", "Ac", "Ac", "Ac", "Ac", "Ac", "Te", "Te", "Te", "Ru", "Pt", "Pt"], "fractional_positions": [[0.9296, 0.6081, 0.7887], [0.7489, 0.7489, 0.2122], [0.0704, 0.3919, 0.2113], [0.6081, 0.9296, 0.7887], [0.2511, 0.2511, 0.7878], [0.3919, 0.0704, 0.2113], [0.1681, 0.8319, 0.5000], [0.8319, 0.1681, 0.5000], [0.5000, 0.5000, 0.5000], [0.0000, 0.0000, 0.0000], [0.3335, 0.6665, 0.0000], [0.6665, 0.3335, 0.0000]]}